<a>
# CoMoI2O | the Alexandria database | PBE+U | optimized geometry
# ρ = 5.36 Mg/m³
data_CoMoI2O
_chemical_formula_sum 'Co1 Mo1 I2 O1'
_cell_length_a 5.846
_cell_length_b 5.846
_cell_length_c 3.848
_cell_angle_alpha 90.00
_cell_angle_beta 90.00
_cell_angle_gamma 90.00
_space_group_name_H-M_alt 'P 1'
_space_group_IT_number 1
_space_group_name_Hall 'P 1'
loop_
_atom_site_label
_atom_site_type_symbol
_atom_site_fract_x
_atom_site_fract_y
_atom_site_fract_z
Co1 Co 0.000 0.000 0.000
Mo1 Mo 0.500 0.500 0.500
I1 I 0.000 0.500 0.500
I2 I 0.500 0.000 0.500
O1 O 0.500 0.500 0.000


<b>
# CoMoI2O | the Alexandria database | PBE+U | optimized geometry
# ρ = 5.87 Mg/m³
data_CoMoI2O
_chemical_formula_sum 'Co1 Mo1 I2 O1'
_cell_length_a 5.739
_cell_length_b 5.739
_cell_length_c 3.647
_cell_angle_alpha 90.00
_cell_angle_beta 90.00
_cell_angle_gamma 90.00
_space_group_name_H-M_alt 'P 1'
_space_group_IT_number 1
_space_group_name_Hall 'P 1'
loop_
_atom_site_label
_atom_site_type_symbol
_atom_site_fract_x
_atom_site_fract_y
_atom_site_fract_z
Co1 Co 0.000 0.000 0.000
Mo1 Mo 0.500 0.500 0.500
I1 I 0.000 0.500 0.000
I2 I 0.500 0.000 0.000
O1 O 0.000 0.000 0.500


Energy above the most stable structure, in meV/atom: <a> 167; <b> 0